# 1
GGA-PBE ThZnPdAu, optimized geometry; formation enthalpy at 0 K = -0.570 eV/atom; total magnetization = 0.000 μB/atom; space-group type = F-43m, No. 216
1.0
6.941 0.000 0.000
0.000 6.941 0.000
0.000 0.000 6.941
Th Zn Pd Au
4 4 4 4
direct
0.000 0.000 0.000 Th
0.000 0.500 0.500 Th
0.500 0.000 0.500 Th
0.500 0.500 0.000 Th
0.000 0.000 0.500 Zn
0.000 0.500 0.000 Zn
0.500 0.000 0.000 Zn
0.500 0.500 0.500 Zn
0.250 0.250 0.250 Pd
0.250 0.750 0.750 Pd
0.750 0.250 0.750 Pd
0.750 0.750 0.250 Pd
0.250 0.250 0.750 Au
0.250 0.750 0.250 Au
0.750 0.250 0.250 Au
0.750 0.750 0.750 Au


# 2
GGA-PBE HfPaPb2, optimized geometry; formation enthalpy at 0 K = 0.145 eV/atom; total magnetization = 0.001 μB/atom; space-group type = P4/mmm, No. 123
1.0
3.949 0.000 0.000
0.000 3.949 0.000
0.000 0.000 6.554
Hf Pa Pb
1 1 2
direct
0.000 0.000 0.000 Hf
0.000 0.000 0.500 Pa
0.500 0.500 0.235 Pb
0.500 0.500 0.765 Pb


# 3
GGA-PBE Na2HoZnF8, optimized geometry; total magnetization = 0.091 μB/atom; uncorrected formation energy = -2.833 eV per atom; space-group type = P-1, No. 2
1.0
3.882 0.000 0.000
0.433 5.506 0.000
0.010 0.038 7.254
Na Ho Zn F
2 1 1 8
direct
0.001 0.000 0.240 Na
0.999 0.000 0.760 Na
0.500 0.500 0.500 Ho
0.500 0.500 0.000 Zn
0.005 0.732 0.501 F
0.083 0.720 0.002 F
0.450 0.277 0.239 F
0.451 0.273 0.758 F
0.549 0.727 0.242 F
0.550 0.723 0.761 F
0.917 0.280 0.998 F
0.995 0.268 0.499 F


# 4
GGA-PBE NaTl3Sb, optimized geometry; total magnetization = 0.000 μB/atom; uncorrected formation energy = -0.106 eV per atom; space-group type = P2_1/m, No. 11
1.0
5.488 0.000 0.000
0.000 6.830 0.000
-2.307 0.000 8.054
Na Tl Sb
2 6 2
direct
0.187 0.250 0.399 Na
0.813 0.750 0.601 Na
0.019 0.250 0.989 Tl
0.393 0.501 0.773 Tl
0.393 0.999 0.773 Tl
0.607 0.001 0.227 Tl
0.607 0.499 0.227 Tl
0.981 0.750 0.011 Tl
0.218 0.750 0.391 Sb
0.782 0.250 0.609 Sb


# 5
GGA-PBE SiHg2Ru, optimized geometry; total magnetization = 0.154 μB/atom; uncorrected formation energy = 0.649 eV per atom; space-group type = R-3m, No. 166
1.0
2.919 0.000 0.000
-1.459 2.528 0.000
0.000 0.000 30.683
Si Hg Ru
3 6 3
direct
0.000 0.000 0.000 Si
0.333 0.667 0.667 Si
0.667 0.333 0.333 Si
0.000 0.000 0.244 Hg
0.000 0.000 0.756 Hg
0.333 0.667 0.423 Hg
0.333 0.667 0.911 Hg
0.667 0.333 0.089 Hg
0.667 0.333 0.577 Hg
0.000 0.000 0.500 Ru
0.333 0.667 0.167 Ru
0.667 0.333 0.833 Ru


# 6
GGA-PBE CsGeBr2, optimized geometry; total magnetization = 0.250 μB/atom; uncorrected formation energy = -0.667 eV per atom; space-group type = I-42d, No. 122
1.0
6.716 0.000 0.000
0.000 6.716 0.000
0.000 0.000 17.034
Cs Ge Br
4 4 8
direct
0.000 0.000 0.000 Cs
0.000 0.500 0.250 Cs
0.500 0.000 0.750 Cs
0.500 0.500 0.500 Cs
0.000 0.000 0.500 Ge
0.000 0.500 0.750 Ge
0.500 0.000 0.250 Ge
0.500 0.500 0.000 Ge
0.147 0.250 0.625 Br
0.250 0.647 0.875 Br
0.250 0.853 0.375 Br
0.353 0.250 0.125 Br
0.647 0.750 0.125 Br
0.750 0.147 0.375 Br
0.750 0.353 0.875 Br
0.853 0.750 0.625 Br


# 7
GGA-PBE FeSeCl, optimized geometry; total magnetization = 1.357 μB/atom; uncorrected formation energy = 0.158 eV per atom; space-group type = F-43m, No. 216
1.0
6.271 0.000 0.000
0.000 6.271 0.000
0.000 0.000 6.271
Fe Se Cl
4 4 4
direct
0.000 0.000 0.000 Fe
0.000 0.500 0.500 Fe
0.500 0.000 0.500 Fe
0.500 0.500 0.000 Fe
0.250 0.250 0.750 Se
0.250 0.750 0.250 Se
0.750 0.250 0.250 Se
0.750 0.750 0.750 Se
0.250 0.250 0.250 Cl
0.250 0.750 0.750 Cl
0.750 0.250 0.750 Cl
0.750 0.750 0.250 Cl


# 8
GGA-PBE Zn2HgS2, optimized geometry; total magnetization = 0.000 μB/atom; uncorrected formation energy = -0.439 eV per atom; space-group type = I4/mmm, No. 139
1.0
3.996 0.000 0.000
0.000 3.996 0.000
0.000 0.000 17.132
Zn Hg S
4 2 4
direct
0.000 0.500 0.250 Zn
0.000 0.500 0.750 Zn
0.500 0.000 0.250 Zn
0.500 0.000 0.750 Zn
0.000 0.000 0.000 Hg
0.500 0.500 0.500 Hg
0.000 0.000 0.329 S
0.000 0.000 0.671 S
0.500 0.500 0.171 S
0.500 0.500 0.829 S


# 9
GGA-PBE NaZn2In4, optimized geometry; formation enthalpy at 0 K = -0.002 eV/atom; total magnetization = 0.000 μB/atom; space-group type = Cmmm, No. 65
1.0
4.759 0.000 0.000
0.000 16.239 0.000
0.000 0.000 4.546
Na Zn In
2 4 8
direct
0.000 0.000 0.000 Na
0.500 0.500 0.000 Na
0.000 0.424 0.500 Zn
0.000 0.576 0.500 Zn
0.500 0.076 0.500 Zn
0.500 0.924 0.500 Zn
0.000 0.173 0.500 In
0.000 0.318 0.000 In
0.000 0.682 0.000 In
0.000 0.827 0.500 In
0.500 0.182 0.000 In
0.500 0.327 0.500 In
0.500 0.673 0.500 In
0.500 0.818 0.000 In


# 10
GGA-PBE Ho3ThRh4, optimized geometry; formation enthalpy at 0 K = -0.875 eV/atom; total magnetization = 0.000 μB/atom; space-group type = R-3m, No. 166
1.0
2.450 1.414 7.961
-2.450 1.414 7.961
0.000 -2.829 7.961
Ho Th Rh
3 1 4
direct
0.000 0.000 0.000 Ho
0.254 0.254 0.254 Ho
0.746 0.746 0.746 Ho
0.500 0.500 0.500 Th
0.126 0.126 0.126 Rh
0.377 0.377 0.377 Rh
0.623 0.623 0.623 Rh
0.874 0.874 0.874 Rh